(1)
First-principles (PBE) data for crystalline UIn3Hg2Cl6 at its relaxed geometry, as listed in Alexandria. Values from VASP.

Properties
N(E_F)   11.77 states/eV/f.u.
Crystal system   monoclinic
Uncorrected formation energy   -0.966 eV/atom

Quantum ESPRESSO input file:
```
&SYSTEM
  ibrav = 0, nat = 12, ntyp = 4
/
ATOMIC_SPECIES
U 238.03 U.upf
In 114.82 In.upf
Hg 200.59 Hg.upf
Cl 35.45 Cl.upf
CELL_PARAMETERS angstrom
7.998 -4.004 0.000
7.998 4.004 0.000
-0.303 0.000 6.854
ATOMIC_POSITIONS crystal
U 0.000 0.000 0.000
In 0.000 0.500 0.000
In 0.500 0.000 0.000
In 0.500 0.500 0.500
Hg 0.347 0.347 0.736
Hg 0.653 0.653 0.264
Cl 0.140 0.140 0.236
Cl 0.162 0.688 0.211
Cl 0.312 0.838 0.789
Cl 0.688 0.162 0.211
Cl 0.838 0.312 0.789
Cl 0.860 0.860 0.764
```

(2)
First-principles (PBE) data for crystalline Cd2SbAs at its relaxed geometry, as listed in Alexandria. Values from VASP.

Properties
Offset from the most stable computed form   0.0706 eV/atom
N(E_F)   2.95 states/eV/f.u.
Crystal system   monoclinic
Uncorrected formation energy   0.105 eV/atom

Quantum ESPRESSO input file:
```
&SYSTEM
  ibrav = 0, nat = 4, ntyp = 3
/
ATOMIC_SPECIES
Cd 112.41 Cd.upf
Sb 121.76 Sb.upf
As 74.92 As.upf
CELL_PARAMETERS angstrom
3.568 -2.078 0.000
3.568 2.078 0.000
-2.431 0.000 6.740
ATOMIC_POSITIONS crystal
Cd 0.241 0.241 0.221
Cd 0.759 0.759 0.779
Sb 0.000 0.000 0.500
As 0.500 0.500 0.000
```

- Among the records above, which one has the lowest uncorrected formation energy?
  UIn3Hg2Cl6

- Which value of N(E_F) does entry 1 give?
  11.77 states/eV/f.u.

- Number 1 is which compound?
  UIn3Hg2Cl6